CdGa2Se3S | the Open Quantum Materials Database | PBE-GGA | relaxed; crystal system = triclinic; mass density = 4.75 g cm⁻³; calculated total energy = -0.1367 hartree per atom
1.0
5.7777 0.0000 0.0000
-0.0885 5.8332 0.0000
-2.7608 -2.9460 5.3981
Cd Ga S Se
1 2 1 3
direct
0.0061 0.0067 0.0035
0.4971 0.4981 0.0043
0.2549 0.7432 0.4963
0.3956 0.4070 0.2658
0.8691 0.8756 0.2827
0.6053 0.1358 0.7234
0.1218 0.5837 0.7240

***

PaBe2Os | the Open Quantum Materials Database | PBE-GGA | relaxed; crystal system = tetragonal; mass density = 12.37 g cm⁻³; calculated total energy = -0.2342 hartree per atom
1.0
3.4439 0.0000 0.0000
0.0000 3.4439 0.0000
0.0000 0.0000 4.9722
Be Os Pa
2 1 1
direct
0.5000 0.5000 0.0000
0.0000 0.0000 0.5000
0.0000 0.0000 0.0000
0.5000 0.5000 0.5000

***

TbGdTl2Pd4 | the Open Quantum Materials Database | PBE-GGA | relaxed; crystal system = hexagonal; mass density = 11.37 g cm⁻³; calculated total energy = -0.1836 hartree per atom
1.0
4.6692 0.0000 0.0000
-2.3346 4.0436 0.0000
0.0000 0.0000 8.9013
Gd Pd Tb Tl
1 4 1 2
direct
0.0000 0.0000 0.0000
0.6667 0.3333 0.1611
0.0000 0.0000 0.3400
0.0000 0.0000 0.6600
0.6667 0.3333 0.8389
0.6667 0.3333 0.5000
0.3333 0.6667 0.2506
0.3333 0.6667 0.7494

***

PrTm2Mg3In2Hg | the Open Quantum Materials Database | PBE-GGA | relaxed; crystal system = orthorhombic; mass density = 7.14 g cm⁻³; calculated total energy = -0.1133 hartree per atom
1.0
4.6501 0.0000 0.0000
0.0000 6.6057 3.7187
0.0000 -6.6057 3.7187
Hg In Mg Pr Tm
1 2 3 1 2
direct
0.0000 0.9872 0.9872
0.5000 0.6750 0.3325
0.5000 0.3325 0.6750
0.5000 0.2373 0.0001
0.5000 0.0001 0.2373
0.5000 0.7601 0.7601
0.0000 0.4226 0.4226
0.0000 0.5820 0.0034
0.0000 0.0034 0.5820

***

LaHfHg | the Open Quantum Materials Database | PBE-GGA | relaxed; crystal system = cubic; mass density = 10.19 g cm⁻³; calculated formation energy = 0.52 eV per atom; calculated total energy = -0.1668 hartree per atom
1.0
0.0000 3.4819 3.4819
3.4819 0.0000 3.4819
3.4819 3.4819 0.0000
Hf Hg La
1 1 1
direct
0.0000 0.0000 0.0000
0.2500 0.2500 0.2500
0.7500 0.7500 0.7500

***

KLuAuS3 | the Open Quantum Materials Database | PBE-GGA | relaxed; crystal system = orthorhombic; mass density = 5.75 g cm⁻³; calculated total energy = -0.1714 hartree per atom
1.0
-2.7614 0.5475 7.0521
2.3899 -4.2482 -5.8222
9.5029 0.2756 3.6997
Au K Lu S
2 2 2 6
direct
0.9651 0.0349 0.2500
0.0349 0.9651 0.7500
0.2503 0.7497 0.2500
0.7497 0.2503 0.7500
0.5000 0.5000 0.0000
0.5000 0.5000 0.5000
0.8760 0.1240 0.0471
0.5737 0.4263 0.2500
0.8760 0.1240 0.4529
0.1240 0.8760 0.5471
0.4263 0.5737 0.7500
0.1240 0.8760 0.9529

***

Er3Be2Si4 | the Open Quantum Materials Database | PBE-GGA | relaxed; crystal system = monoclinic; mass density = 6.76 g cm⁻³; calculated total energy = -0.2002 hartree per atom
1.0
-0.0331 -3.7699 4.0869
-0.8705 -5.4474 0.6958
7.5841 -0.2307 -1.7588
Be Er Si
2 3 4
direct
0.3910 0.3910 0.2189
0.6090 0.6090 0.7811
0.6651 0.6651 0.1663
0.0000 0.0000 0.5000
0.3349 0.3349 0.8337
0.9391 0.9391 0.1161
0.2848 0.2848 0.4360
0.7152 0.7152 0.5640
0.0609 0.0609 0.8839

***

Ag10Sn | the Open Quantum Materials Database | PBE-GGA | relaxed; crystal system = monoclinic; mass density = 6.66 g cm⁻³; calculated total energy = -0.1056 hartree per atom
1.0
4.5411 -2.0190 0.0000
4.5411 2.0190 0.0000
-0.1493 0.0000 32.5511
Ag Sn
20 2
direct
0.8559 0.8559 0.2191
0.5516 0.5516 0.2497
0.2511 0.2511 0.2805
0.9520 0.9520 0.3092
0.6501 0.6501 0.3391
0.3499 0.3499 0.3678
0.0500 0.0500 0.3976
0.7500 0.7500 0.4267
0.4494 0.4494 0.4562
0.1500 0.1500 0.4852
0.8500 0.8500 0.5148
0.5506 0.5506 0.5438
0.2500 0.2500 0.5733
0.9500 0.9500 0.6024
0.6501 0.6501 0.6322
0.3499 0.3499 0.6609
0.0480 0.0480 0.6908
0.7489 0.7489 0.7195
0.4484 0.4484 0.7503
0.1441 0.1441 0.7809
0.1570 0.1570 0.1901
0.8430 0.8430 0.8099